A relaxed structure of Be2BS, computed with GGA-PBE.

Computed properties:
final energy = -4.81 eV per atom
formation energy from raw total energies = -0.25 eV per atom
total magnetization = 0.00 μB per cell
DOS at the Fermi energy = 1.0 states/eV per cell
relative energy among the computed polymorphs = 0.417 eV/f.u.

abc: 3.8198 3.2014 8.5095
angles: 90.00 93.45 90.00
With the nearest neighbours (Å) after each atom.
Positions (direct):
Be1 0.8955 0.5000 0.9487  4 B 1.89-2.00
Be2 0.6741 0.0000 0.7558  1 B 1.93, 2 S 1.96
Be3 0.0110 0.5000 0.4255  3 S 1.94-2.04
Be4 0.1605 0.0000 0.0778  4 B 1.98-2.19, 1 S 2.08, 2 Be 2.16
S1 0.8124 0.5000 0.6424  3 Be 1.96-2.04
S2 0.1722 0.0000 0.3224  3 Be 1.94-2.08
B1 0.6164 0.0000 0.9796  2 B 1.78, 4 Be 1.93-1.98
B2 0.4160 0.5000 0.9923  2 B 1.78, 1 Be 1.89